# 1
A plane-wave DFT calculation with GGA-PBE was carried out for crystalline Fe2CuMo at its relaxed geometry. Values from VASP.

Geometry as Quantum ESPRESSO input:
```
&SYSTEM
  ibrav = 0, nat = 4, ntyp = 3
/
ATOMIC_SPECIES
Cu 63.55 Cu.upf
Fe 55.84 Fe.upf
Mo 95.94 Mo.upf
CELL_PARAMETERS angstrom
-2.060 1.078 -1.740
-2.054 0.094 2.490
1.622 4.959 1.152
ATOMIC_POSITIONS angstrom
Cu -0.840 4.305 1.239
Fe 1.594 4.874 1.132
Fe 0.839 2.564 0.595
Mo -1.651 1.825 0.663
```

Output
**Mass density**: 9.0 g/cm³
**E**: -7.75 eV/atom
**Offset from the most stable computed form**: 0.0609 eV/atom
**Magnetization**: 0.722 μB per atom



# 2
A plane-wave DFT calculation with GGA-PBE was carried out for crystalline RbScTiCl2 at its relaxed geometry. Values from VASP.

Geometry as Quantum ESPRESSO input:
```
&SYSTEM
  ibrav = 0, nat = 5, ntyp = 4
/
ATOMIC_SPECIES
Sc 44.96 Sc.upf
Cl 35.45 Cl.upf
Rb 85.47 Rb.upf
Ti 47.87 Ti.upf
CELL_PARAMETERS angstrom
5.051 0.000 0.000
0.000 8.437 0.000
0.000 0.000 5.051
ATOMIC_POSITIONS angstrom
Sc 0.000 0.000 0.000
Cl 0.000 0.000 2.526
Cl 2.526 0.000 0.000
Rb 0.000 4.218 0.000
Ti 2.526 4.218 2.526
```

Output
**Mass density**: 1.9 g/cm³
**E**: -3.82 eV/atom
**ΔE_f (raw)**: -20 kJ/mol of formula units
**Magnetization**: 0.817 μB per atom